# CeSmHf PBE relaxed
# Crystal system: trigonal
# VASP energy (eV per cell): -20.116
# Calculated formation energy (meV per atom): 164
# Relative energy among the computed polymorphs (eV/atom): 0.003
# Magnetic moment (μB/atom): 0.000
data_CeSmHf
_chemical_formula_sum 'Ce1 Sm1 Hf1'
_cell_length_a 3.3617
_cell_length_b 3.3617
_cell_length_c 8.3338
_cell_angle_alpha 90.00
_cell_angle_beta 90.00
_cell_angle_gamma 120.00
_space_group_name_H-M_alt 'P 3 m 1'
_space_group_IT_number 156
loop_
_space_group_symop_operation_xyz
'x,y,z'
'-y,x-y,z'
'-x+y,-x,z'
'-y,-x,z'
'-x+y,y,z'
'x,x-y,z'
loop_
_atom_site_label
_atom_site_fract_x
_atom_site_fract_y
_atom_site_fract_z
_atom_site_occupancy
Ce1 0.0000 0.0000 0.0000 1
Sm1 0.6667 0.3333 0.3557 1
Hf1 0.3333 0.6667 0.6869 1



# Ce5Sm12Hf3 PBE relaxed
# Crystal system: cubic
# VASP energy (eV per cell): -766.346
# Calculated formation energy (meV per atom): 1018
# Magnetic moment (μB/atom): 0.299
data_Ce5Sm12Hf3
_chemical_formula_sum 'Ce40 Sm96 Hf24'
_cell_length_a 17.6055
_cell_length_b 17.6055
_cell_length_c 17.6055
_cell_angle_alpha 90.00
_cell_angle_beta 90.00
_cell_angle_gamma 90.00
_space_group_name_H-M_alt 'I a -3 d'
_space_group_IT_number 230
_space_group_name_Hall '-I 4bd 2c 3'
loop_
_atom_site_label
_atom_site_fract_x
_atom_site_fract_y
_atom_site_fract_z
_atom_site_occupancy
Ce1 0.0000 0.0000 0.0000 1
Ce2 0.0000 0.2500 0.3750 1
Sm1 0.0170 0.0791 0.6532 1
Hf1 0.0000 0.2500 0.1250 1